The following is a SCAN calculation of a PBEsol-optimized structure of ZrIrOF2, from Alexandria.

The crystal system is tetragonal. The calculation puts the formation energy from raw total energies at -0.568 eV/atom.

It has space group P4/mmm (No. 123), with a = 4.3457 Å, b = 4.3457 Å, c = 3.7762 Å, α = 90.00°, β = 90.00° and γ = 90.00°. The asymmetric unit holds Zr at (0.0000, 0.0000, 0.0000), Ir at (0.5000, 0.5000, 0.5000), O at (0.5000, 0.5000, 0.0000) and F at (0.0000, 0.5000, 0.5000).